Entry from OQMD: a geometry-optimized Gd3Mg3Ga2Pd structure (PBE-GGA).

The calculation puts the magnetic moment at 0.0005 μB per atom. The value obtained for the final energy is -70.0 eV/cell.

The space group is Amm2 (No. 38) and the conventional cell measures 4.362, 12.766 and 7.382 Å, with angles of 90.00, 90.00 and 90.00 degrees. Symmetry generates all atoms from Gd at (0.000, 0.000, 0.000), Gd at (0.000, 0.207, 0.622), Mg at (0.500, 0.000, 0.655), Mg at (0.500, 0.120, 0.295), Ga at (0.500, 0.168, 0.916) and Pd at (0.000, 0.000, 0.411).